# Ir2OsSe GGA-PBE relaxed
# Formation energy (no corrections) = 1.7 eV per formula unit
# DOS(E_F) = 0.934 states/eV per atom
# M_tot = 0.00 μB/f.u.
# ρ = 18.04 Mg/m³
data_Ir2OsSe
_cell_length_a 2.8613
_cell_length_b 2.8613
_cell_length_c 25.4508
_cell_angle_alpha 90.00
_cell_angle_beta 90.00
_cell_angle_gamma 120.00
_space_group_name_H-M_alt 'R 3 m'
_space_group_IT_number 160
_space_group_name_Hall 'R 3 -2"'
loop_
_atom_site_label
_atom_site_fract_x
_atom_site_fract_y
_atom_site_fract_z
Ir1 0.0000 0.0000 0.0000
Ir2 0.0000 0.0000 0.2460
Os1 0.0000 0.0000 0.7496
Se1 0.0000 0.0000 0.4972